A PBEsol-optimized structure of DyRu2, computed with SCAN.

Computed properties:
The value obtained for the formation energy is -0.401 eV per atom. The size of the total moment is 0.0 μB/f.u. The total DFT energy (no corrections) comes out at -39.551 eV/atom. The density of states at the Fermi level is 1.06 states/eV per atom. The symmetry is No. 194.

a = 5.188 Å, b = 5.188 Å, c = 8.791 Å
α = 90.00°, β = 90.00°, γ = 120.00°
Fractional positions:
Dy: 0.333 0.667 0.067
Dy: 0.333 0.667 0.433
Dy: 0.667 0.333 0.567
Dy: 0.667 0.333 0.933
Ru: 0.000 0.000 0.000
Ru: 0.000 0.000 0.500
Ru: 0.170 0.340 0.750
Ru: 0.170 0.830 0.750
Ru: 0.340 0.170 0.250
Ru: 0.660 0.830 0.750
Ru: 0.830 0.170 0.250
Ru: 0.830 0.660 0.250